No. 1
## SmGd2In3Cu2Ni (GGA-PBE)

Data for a geometry-optimized SmGd2In3Cu2Ni structure.

Values from the calculation:
* spin magnetization: 0.01 μB/f.u.

a b c (Å): 3.9420 7.5182 7.5182
angles (deg): 119.95 90.00 90.00
Last column: nearest neighbours and their distance in Å.
Fractional coordinates of all 9 atoms:
Sm 0.0000 0.0000 0.0000  4 Cu 3.02, 1 Ni 3.09, 6 In 3.24-3.34
Gd 0.0000 0.4091 0.8180  4 Cu 3.00-3.01, 1 Ni 3.07, 6 In 3.24-3.33
Gd 0.0000 0.8180 0.4091  4 Cu 3.00-3.01, 1 Ni 3.07, 6 In 3.24-3.33
In 0.5000 0.1601 0.4107  2 Ni 2.73, 2 Cu 2.85-2.89
In 0.5000 0.4107 0.1601  2 Ni 2.73, 2 Cu 2.85-2.89
In 0.5000 0.6582 0.6582  2 Ni 2.71, 2 Cu 2.89
Cu 0.5000 0.0768 0.7413  3 In 2.85-2.89, 4 Gd 3.00-3.01, 2 Sm 3.02
Cu 0.5000 0.7413 0.0768  3 In 2.85-2.89, 4 Gd 3.00-3.01, 2 Sm 3.02
Ni 0.0000 0.4107 0.4107  6 In 2.71-2.73

***

No. 2
## Tb2GdIn3CuNi2 (GGA-PBE)

Data for a geometry-optimized Tb2GdIn3CuNi2 structure.

Values from the calculation:
* spin magnetization: 0.01 μB/f.u.

a b c (Å): 3.8408 7.4698 7.4698
angles (deg): 119.99 90.00 90.00
Last column: nearest neighbours and their distance in Å.
Fractional coordinates of all 9 atoms:
Tb 0.0000 0.2063 0.7937  4 Ni 2.96, 1 Cu 3.08, 6 In 3.12-3.31
Tb 0.0000 0.7937 0.2063  4 Ni 2.96, 1 Cu 3.08, 6 In 3.12-3.31
Gd 0.0000 0.3810 0.3810  4 Ni 2.96, 1 Cu 3.08, 6 In 3.12-3.31
In 0.5000 0.0517 0.0517  2 Cu 2.72, 2 Ni 2.81
In 0.5000 0.5356 0.7938  2 Cu 2.72, 2 Ni 2.81
In 0.5000 0.7938 0.5356  2 Cu 2.72, 2 Ni 2.81
Cu 0.0000 0.7937 0.7937  6 In 2.72
Ni 0.5000 0.1270 0.4604  3 In 2.81, 4 Tb 2.96, 2 Gd 2.96
Ni 0.5000 0.4604 0.1270  3 In 2.81, 4 Tb 2.96, 2 Gd 2.96

***

No. 3
## GdTm2In3CuNi2 (GGA-PBE)

Data for a geometry-optimized GdTm2In3CuNi2 structure.

Values from the calculation:
* spin magnetization: 0.00 μB/f.u.

a b c (Å): 3.8087 7.4098 7.4098
angles (deg): 119.98 90.00 90.00
Last column: nearest neighbours and their distance in Å.
Fractional coordinates of all 9 atoms:
Gd 0.0000 0.0000 0.0000  4 Ni 2.94, 1 Cu 3.06, 6 In 3.10-3.29
Tm 0.0000 0.4127 0.8253  4 Ni 2.93-2.94, 1 Cu 3.06, 6 In 3.09-3.28
Tm 0.0000 0.8253 0.4127  4 Ni 2.93-2.94, 1 Cu 3.06, 6 In 3.09-3.28
In 0.5000 0.1543 0.4132  2 Cu 2.70, 2 Ni 2.78-2.79
In 0.5000 0.4132 0.1543  2 Cu 2.70, 2 Ni 2.78-2.79
In 0.5000 0.6707 0.6707  2 Cu 2.70, 2 Ni 2.79
Cu 0.0000 0.4130 0.4130  6 In 2.70
Ni 0.5000 0.0796 0.7458  3 In 2.78-2.79, 4 Tm 2.93-2.94, 2 Gd 2.94
Ni 0.5000 0.7458 0.0796  3 In 2.78-2.79, 4 Tm 2.93-2.94, 2 Gd 2.94

***

No. 4
## GdTm2In3CuPd2 (GGA-PBE)

Data for a geometry-optimized GdTm2In3CuPd2 structure.

Values from the calculation:
* spin magnetization: 0.00 μB/f.u.

a b c (Å): 3.7141 7.7608 7.7608
angles (deg): 120.13 90.00 90.00
Last column: nearest neighbours and their distance in Å.
Fractional coordinates of all 9 atoms:
Gd 0.0000 0.0000 0.0000  4 Pd 3.02, 1 Cu 3.18, 6 In 3.19-3.35
Tm 0.0000 0.1821 0.5903  4 Pd 2.98, 1 Cu 3.17, 4 In 3.19-3.33
Tm 0.0000 0.5903 0.1821  4 Pd 2.98, 1 Cu 3.17, 4 In 3.19-3.33
In 0.5000 0.3347 0.3347  2 Cu 2.71, 2 Pd 2.96
In 0.5000 0.5889 0.8467  2 Cu 2.73, 2 Pd 2.88-2.94
In 0.5000 0.8467 0.5889  2 Cu 2.73, 2 Pd 2.88-2.94
Cu 0.0000 0.5895 0.5895  6 In 2.71-2.73
Pd 0.5000 0.2608 0.9222  3 In 2.88-2.96, 4 Tm 2.98, 2 Gd 3.02
Pd 0.5000 0.9222 0.2608  3 In 2.88-2.96, 4 Tm 2.98, 2 Gd 3.02

***

No. 5
## PrGd2In3Cu3 (GGA-PBE)

Data for a geometry-optimized PrGd2In3Cu3 structure.

Values from the calculation:
* spin magnetization: 0.00 μB/f.u.

a b c (Å): 3.9804 7.5795 7.5795
angles (deg): 120.00 90.00 90.00
Last column: nearest neighbours and their distance in Å.
Fractional coordinates of all 9 atoms:
Pr 0.0000 0.0000 0.0000  5 Cu 3.06-3.14, 6 In 3.24-3.40
Gd 0.0000 0.1765 0.5880  5 Cu 3.01-3.11, 4 In 3.23-3.35
Gd 0.0000 0.5880 0.1765  5 Cu 3.01-3.11, 4 In 3.23-3.35
In 0.5000 0.3371 0.3371  4 Cu 2.74-2.92
In 0.5000 0.5833 0.8389  4 Cu 2.77-2.91
In 0.5000 0.8389 0.5833  4 Cu 2.77-2.91
Cu 0.0000 0.5859 0.5859  6 In 2.74-2.77
Cu 0.5000 0.2577 0.9180  3 In 2.82-2.92, 4 Gd 3.01-3.03, 2 Pr 3.06
Cu 0.5000 0.9180 0.2577  3 In 2.82-2.92, 4 Gd 3.01-3.03, 2 Pr 3.06

***

No. 6
## Pr2GdIn3CuPt2 (GGA-PBE)

Data for a geometry-optimized Pr2GdIn3CuPt2 structure.

Values from the calculation:
* spin magnetization: 0.01 μB/f.u.

a b c (Å): 3.9638 7.7847 7.7847
angles (deg): 119.85 90.00 90.00
Last column: nearest neighbours and their distance in Å.
Fractional coordinates of all 9 atoms:
Pr 0.0000 0.2054 0.7946  4 Pt 3.10, 1 Cu 3.21, 6 In 3.31-3.45
Pr 0.0000 0.7946 0.2054  4 Pt 3.10, 1 Cu 3.21, 6 In 3.31-3.45
Gd 0.0000 0.6173 0.6173  4 Pt 3.03, 1 Cu 3.19, 2 In 3.29
In 0.5000 0.2090 0.4562  2 Cu 2.76, 2 Pt 2.94-3.05
In 0.5000 0.4562 0.2090  2 Cu 2.76, 2 Pt 2.94-3.05
In 0.5000 0.9545 0.9545  2 Cu 2.80, 2 Pt 2.94
Cu 0.0000 0.2087 0.2087  6 In 2.76-2.80
Pt 0.5000 0.5413 0.8666  3 In 2.94-3.05, 2 Gd 3.03, 4 Pr 3.10
Pt 0.5000 0.8666 0.5413  3 In 2.94-3.05, 2 Gd 3.03, 4 Pr 3.10

***

No. 7
## TbGd2In3CuPt2 (GGA-PBE)

Data for a geometry-optimized TbGd2In3CuPt2 structure.

Values from the calculation:
* spin magnetization: 0.00 μB/f.u.

a b c (Å): 3.8758 7.6650 7.6650
angles (deg): 119.95 90.00 90.00
Last column: nearest neighbours and their distance in Å.
Fractional coordinates of all 9 atoms:
Tb 0.0000 0.0000 0.0000  4 Pt 3.01, 1 Cu 3.17, 2 In 3.23
Gd 0.0000 0.4130 0.8258  4 Pt 3.02, 1 Cu 3.17, 6 In 3.23-3.38
Gd 0.0000 0.8258 0.4130  4 Pt 3.02, 1 Cu 3.17, 6 In 3.23-3.38
In 0.5000 0.1623 0.4127  2 Cu 2.73, 2 Pt 2.92-2.93
In 0.5000 0.4127 0.1623  2 Cu 2.73, 2 Pt 2.92-2.93
In 0.5000 0.6637 0.6637  2 Cu 2.73, 2 Pt 2.92
Cu 0.0000 0.4126 0.4126  6 In 2.73
Pt 0.5000 0.0793 0.7471  3 In 2.92-2.93, 2 Tb 3.01, 4 Gd 3.02
Pt 0.5000 0.7471 0.0793  3 In 2.92-2.93, 2 Tb 3.01, 4 Gd 3.02

***

No. 8
## Tb2GdIn3CuPt2 (GGA-PBE)

Data for a geometry-optimized Tb2GdIn3CuPt2 structure.

Values from the calculation:
* spin magnetization: 0.00 μB/f.u.

a b c (Å): 3.8492 7.6825 7.6825
angles (deg): 120.04 90.00 90.00
Last column: nearest neighbours and their distance in Å.
Fractional coordinates of all 9 atoms:
Tb 0.0000 0.2061 0.7939  4 Pt 3.01, 1 Cu 3.16, 6 In 3.23-3.37
Tb 0.0000 0.7939 0.2061  4 Pt 3.01, 1 Cu 3.16, 6 In 3.23-3.37
Gd 0.0000 0.6182 0.6182  4 Pt 3.02, 1 Cu 3.17, 6 In 3.23-3.37
In 0.5000 0.2058 0.4569  2 Cu 2.73, 2 Pt 2.92-2.93
In 0.5000 0.4569 0.2058  2 Cu 2.73, 2 Pt 2.92-2.93
In 0.5000 0.9553 0.9553  2 Cu 2.72, 2 Pt 2.93
Cu 0.0000 0.2057 0.2057  6 In 2.72-2.73
Pt 0.5000 0.5391 0.8736  3 In 2.92-2.93, 4 Tb 3.01, 2 Gd 3.02
Pt 0.5000 0.8736 0.5391  3 In 2.92-2.93, 4 Tb 3.01, 2 Gd 3.02

***

No. 9
## Gd2TmIn3Cu2Pt (GGA-PBE)

Data for a geometry-optimized Gd2TmIn3Cu2Pt structure.

Values from the calculation:
* spin magnetization: 0.00 μB/f.u.

a b c (Å): 3.9780 7.5368 7.5368
angles (deg): 120.03 90.00 90.00
Last column: nearest neighbours and their distance in Å.
Fractional coordinates of all 9 atoms:
Gd 0.0000 0.2024 0.7976  4 Cu 3.04-3.05, 1 Pt 3.07, 6 In 3.19-3.35
Gd 0.0000 0.7976 0.2024  4 Cu 3.04-3.05, 1 Pt 3.07, 6 In 3.19-3.35
Tm 0.0000 0.3939 0.3939  1 Pt 3.01, 4 Cu 3.01, 6 In 3.20-3.32
In 0.5000 0.0605 0.0605  2 Cu 2.79, 2 Pt 2.83
In 0.5000 0.5329 0.7958  2 Cu 2.79-2.85, 2 Pt 2.80
In 0.5000 0.7958 0.5329  2 Cu 2.79-2.85, 2 Pt 2.80
Cu 0.5000 0.1337 0.4618  3 In 2.79-2.85, 2 Tm 3.01, 4 Gd 3.04-3.05
Cu 0.5000 0.4618 0.1337  3 In 2.79-2.85, 2 Tm 3.01, 4 Gd 3.04-3.05
Pt 0.0000 0.7931 0.7931  6 In 2.80-2.83, 1 Tm 3.01, 2 Gd 3.07

***

No. 10
## GdY2In3CuPt2 (GGA-PBE)

Data for a geometry-optimized GdY2In3CuPt2 structure.

Values from the calculation:
* spin magnetization: 0.00 μB/f.u.

a b c (Å): 3.7665 7.7508 7.7508
angles (deg): 119.97 90.00 90.00
Last column: nearest neighbours and their distance in Å.
Fractional coordinates of all 9 atoms:
Gd 0.0000 0.0000 0.0000  4 Pt 3.00, 1 Cu 3.19, 2 In 3.21
Y 0.0000 0.1773 0.5881  4 Pt 3.00-3.01, 1 Cu 3.19, 6 In 3.21-3.36
Y 0.0000 0.5881 0.1773  4 Pt 3.00-3.01, 1 Cu 3.19, 6 In 3.21-3.36
In 0.5000 0.3352 0.3352  2 Cu 2.72, 2 Pt 2.95
In 0.5000 0.5876 0.8420  2 Cu 2.72, 2 Pt 2.93-2.94
In 0.5000 0.8420 0.5876  2 Cu 2.72, 2 Pt 2.93-2.94
Cu 0.0000 0.5885 0.5885  6 In 2.72
Pt 0.5000 0.2548 0.9212  3 In 2.93-2.95, 4 Y 3.00-3.01, 2 Gd 3.00
Pt 0.5000 0.9212 0.2548  3 In 2.93-2.95, 4 Y 3.00-3.01, 2 Gd 3.00

***

No. 11
## GdY2In3Cu2Pt (GGA-PBE)

Data for a geometry-optimized GdY2In3Cu2Pt structure.

Values from the calculation:
* spin magnetization: 0.00 μB/f.u.

a b c (Å): 3.9834 7.5557 7.5557
angles (deg): 120.00 90.00 90.00
Last column: nearest neighbours and their distance in Å.
Fractional coordinates of all 9 atoms:
Gd 0.0000 0.0000 0.0000  4 Cu 3.04, 1 Pt 3.06, 6 In 3.21-3.35
Y 0.0000 0.4042 0.8083  4 Cu 3.04, 1 Pt 3.05, 6 In 3.21-3.34
Y 0.0000 0.8083 0.4042  4 Cu 3.04, 1 Pt 3.05, 6 In 3.21-3.34
In 0.5000 0.1414 0.4053  2 Cu 2.81-2.82, 2 Pt 2.82
In 0.5000 0.4053 0.1414  2 Cu 2.81-2.82, 2 Pt 2.82
In 0.5000 0.6674 0.6674  2 Pt 2.81, 2 Cu 2.83
Cu 0.5000 0.0716 0.7377  3 In 2.81-2.83, 4 Y 3.04, 2 Gd 3.04
Cu 0.5000 0.7377 0.0716  3 In 2.81-2.83, 4 Y 3.04, 2 Gd 3.04
Pt 0.0000 0.4049 0.4049  6 In 2.81-2.82, 2 Y 3.05, 1 Gd 3.06

***

No. 12
## Gd2YIn3CuPt2 (GGA-PBE)

Data for a geometry-optimized Gd2YIn3CuPt2 structure.

Values from the calculation:
* spin magnetization: 0.00 μB/f.u.

a b c (Å): 3.8643 7.6766 7.6766
angles (deg): 120.05 90.00 90.00
Last column: nearest neighbours and their distance in Å.
Fractional coordinates of all 9 atoms:
Gd 0.0000 0.2061 0.7939  4 Pt 3.02, 1 Cu 3.16, 6 In 3.23-3.37
Gd 0.0000 0.7939 0.2061  4 Pt 3.02, 1 Cu 3.16, 6 In 3.23-3.37
Y 0.0000 0.3828 0.3828  4 Pt 3.02, 1 Cu 3.16, 6 In 3.23-3.36
In 0.5000 0.0451 0.0451  2 Cu 2.73, 2 Pt 2.92
In 0.5000 0.5436 0.7933  2 Cu 2.72, 2 Pt 2.93
In 0.5000 0.7933 0.5436  2 Cu 2.72, 2 Pt 2.93
Cu 0.0000 0.7941 0.7941  6 In 2.72-2.73
Pt 0.5000 0.1272 0.4605  3 In 2.92-2.93, 4 Gd 3.02, 2 Y 3.02
Pt 0.5000 0.4605 0.1272  3 In 2.92-2.93, 4 Gd 3.02, 2 Y 3.02

***

no.,electronic total energy (eV per cell)
1,-39.2
2,-41.3
3,-41.0
4,-42.2
5,-37.1
6,-45.4
7,-45.5
8,-45.5
9,-40.7
10,-49.2
11,-44.6
12,-47.3